Entry 1:
DFT (PBE) results for SrNb4O6 after structural relaxation.

The volume is 13.3 Å³ per atom. For the density of states at the Fermi level, the calculation gives 0.37 states/eV per atom. The calculation puts the total energy at -8.86 eV per atom. For the density, the calculation gives 6.32 g/cm³. The value obtained for the uncorrected formation energy is -2.344 eV/atom.

abc: 4.222 4.222 8.187
angles: 90.00 90.00 90.00
Positions (direct):
Sr1 0.000 0.000 0.000
Nb1 0.000 0.500 0.500
Nb2 0.500 0.000 0.500
Nb3 0.500 0.500 0.251
Nb4 0.500 0.500 0.749
O1 0.000 0.000 0.500
O2 0.000 0.500 0.237
O3 0.000 0.500 0.763
O4 0.500 0.000 0.237
O5 0.500 0.000 0.763
O6 0.500 0.500 0.000

***

Entry 2:
DFT (PBE) results for PPtO4 after structural relaxation.

The volume is 13.6 Å³ per atom. For the density of states at the Fermi level, the calculation gives 0.61 states/eV per atom. The calculation puts the total energy at -6.46 eV per atom. For the density, the calculation gives 5.88 g/cm³. The value obtained for the uncorrected formation energy is -1.251 eV/atom.

abc: 4.832 4.832 4.832
angles: 102.23 102.23 125.19
Positions (direct):
P1 0.000 0.000 0.000
Pt1 0.250 0.750 0.500
O1 0.123 0.395 0.100
O2 0.295 0.023 0.900
O3 0.605 0.705 0.728
O4 0.977 0.877 0.272